i.
Material: NiS2BrN
Method: DFT, PBE
State: relaxed

Cell: 4.820 4.820 3.455 Å, 90.00 90.00 90.00°
Element x y z (fractional)
1 Ni 0.000 0.000 0.000
2 S 0.000 0.500 0.000
3 S 0.500 0.000 0.000
4 Br 0.500 0.500 0.500
5 N 0.000 0.000 0.500

Results
SG = P4/mmm (123)
M_tot = 0.37 μB per cell

ii.
Material: NiS2BrN
Method: DFT, PBE
State: relaxed

Cell: 4.956 4.956 3.652 Å, 90.00 90.00 90.00°
Element x y z (fractional)
1 Ni 0.000 0.000 0.000
2 S 0.000 0.500 0.500
3 S 0.500 0.000 0.500
4 Br 0.500 0.500 0.500
5 N 0.500 0.500 0.000

Results
SG = P4/mmm (123)
M_tot = 2.11 μB per cell

Which structure wins on stability? i wins.

i.
Material: NiSe2BrN
Method: DFT, PBE
State: relaxed

Cell: 4.628 4.628 4.752 Å, 90.00 90.00 90.00°
Element x y z (fractional)
1 Ni 0.000 0.000 0.000
2 Se 0.000 0.500 0.000
3 Se 0.500 0.000 0.000
4 Br 0.000 0.000 0.500
5 N 0.500 0.500 0.500

Results
SG = P4/mmm (123)
M_tot = 0.00 μB per cell

ii.
Material: NiSe2BrN
Method: DFT, PBE
State: relaxed

Cell: 5.263 5.263 3.626 Å, 90.00 90.00 90.00°
Element x y z (fractional)
1 Ni 0.000 0.000 0.000
2 Se 0.000 0.500 0.500
3 Se 0.500 0.000 0.500
4 Br 0.500 0.500 0.500
5 N 0.500 0.500 0.000

Results
SG = P4/mmm (123)
M_tot = 1.33 μB per cell

iii.
Material: NiSe2BrN
Method: DFT, PBE
State: relaxed

Cell: 4.268 4.268 4.794 Å, 90.00 90.00 90.00°
Element x y z (fractional)
1 Ni 0.000 0.000 0.000
2 Se 0.000 0.500 0.500
3 Se 0.500 0.000 0.500
4 Br 0.500 0.500 0.000
5 N 0.500 0.500 0.500

Results
SG = P4/mmm (123)
M_tot = 1.58 μB per cell

Which structure wins on stability? iii wins.